(1)
An optimized crystal structure of PaNi5S4. Source: the Alexandria database, functional GGA-PBE.

Geometry as POSCAR:
```
PaNi5S4
1.0
3.603 0.000 -0.918
-0.758 5.831 -2.976
-0.113 -0.122 7.087
S Ni Pa
4 5 1
direct
0.729 0.229 0.458
0.000 0.709 0.000
0.000 0.291 0.000
0.271 0.771 0.542
0.500 0.500 0.000
0.819 0.015 0.637
0.819 0.622 0.637
0.181 0.985 0.363
0.181 0.378 0.363
0.500 0.000 0.000
```

Values from the calculation:
space group	Immm (71)
formation energy without anion corrections	-591	meV per atom

***

(2)
An optimized crystal structure of GdErIr4. Source: the Alexandria database, functional GGA-PBE.

Geometry as POSCAR:
```
GdErIr4
1.0
5.361 0.000 0.000
2.680 4.643 0.000
2.680 1.548 4.377
Er Gd Ir
1 1 4
direct
0.250 0.250 0.250
0.000 0.000 0.000
0.625 0.125 0.625
0.625 0.625 0.125
0.625 0.625 0.625
0.125 0.625 0.625
```

Values from the calculation:
space group	F-43m (216)
energy of formation	-0.802	eV per atom

***

(3)
An optimized crystal structure of Tc2AsSe. Source: the Alexandria database, functional GGA-PBE.

Geometry as POSCAR:
```
Tc2AsSe
1.0
3.036 0.000 0.000
0.000 5.322 0.000
0.000 0.000 4.026
Tc Se As
2 1 1
direct
0.000 0.000 0.000
0.500 0.500 0.000
0.000 0.500 0.500
0.500 0.000 0.500
```

Values from the calculation:
space group	Pmmm (47)
excess energy over the best structure of this formula in the dataset	588	meV/atom
formation energy without anion corrections	490	meV per atom

***

(4)
An optimized crystal structure of VAu2I. Source: the Alexandria database, functional GGA-PBE.

Geometry as POSCAR:
```
VAu2I
1.0
-4.855 0.119 0.912
-2.904 3.138 -2.478
-3.189 -1.715 -3.363
Au V I
2 1 1
direct
0.250 0.250 0.250
0.750 0.750 0.750
0.000 0.000 0.000
0.500 0.500 0.500
```

Values from the calculation:
space group	Fm-3m (225)
excess energy over the best structure of this formula in the dataset	246	meV/atom
formation energy without anion corrections	647	meV per atom

***

(5)
An optimized crystal structure of HoErPuCd. Source: the Alexandria database, functional GGA-PBE.

Geometry as POSCAR:
```
HoErPuCd
1.0
-5.215 -1.107 0.665
-1.528 -3.670 3.613
-2.521 1.536 4.488
Ho Pu Cd Er
1 1 1 1
direct
0.500 0.500 0.500
0.250 0.250 0.250
0.750 0.750 0.750
0.000 0.000 0.000
```

Values from the calculation:
space group	F-43m (216)
energy of formation	0.073	eV per atom

***

(6)
An optimized crystal structure of Zr2CoBOs. Source: the Alexandria database, functional GGA-PBE.

Geometry as POSCAR:
```
Zr2CoBOs
1.0
-3.349 -3.796 -0.087
0.655 -0.487 -3.906
3.706 -3.292 1.032
Os Zr Co B
1 2 1 1
direct
0.000 0.000 0.000
0.500 0.000 0.000
0.000 0.000 0.500
0.500 0.500 0.500
0.000 0.500 0.000
```

Values from the calculation:
space group	P4/mmm (123)
energy of formation	0.761	eV per atom